Record 1
The following is a PBE-GGA calculation of Sm3FePb after structural relaxation, from Alexandria via LeMat-Bulk.

For the density of states at the Fermi level, the calculation gives 5.044 states/eV per cell. For the spin magnetization, the calculation gives 0.036 μB per atom. As for the formation enthalpy at 0 K: -0.570 eV per formula unit.

The structure belongs to space group Pm-3m (No. 221); the cell edges are 5.193, 5.193 and 5.193 Å and the angles 90.00°, 90.00° and 90.00°. The asymmetric unit holds Sm at (0.000, 0.000, 0.500), Fe at (0.000, 0.000, 0.000) and Pb at (0.500, 0.500, 0.500).

Record 2
The following is a PBE-GGA calculation of Rb3Y2PuTe6 after structural relaxation, from Alexandria via LeMat-Bulk.

The calculated total energy is -5.374 eV per atom. For the density of states at the Fermi level, the calculation gives 27.974 states/eV per cell. For the spin magnetization, the calculation gives 0.417 μB per atom.

The structure belongs to space group C2/m (No. 12); the cell edges are 7.910, 13.699 and 8.929 Å and the angles 90.00°, 107.19° and 90.00°. The asymmetric unit holds Rb at (0.000, 0.000, 0.000), Rb at (0.000, 0.334, 0.000), Y at (0.000, 0.167, 0.500), Pu at (0.000, 0.500, 0.500), Te at (0.229, 0.000, 0.699) and Te at (0.235, 0.331, 0.699).